[1]
ScBiHN2: optimized geometry, PBE-GGA.

Output
DOS at the Fermi energy: 2.8 states/eV/f.u.
Final energy: -4.985 eV per atom

```
data_ScBiHN2
_space_group_name_H-M_alt 'P 4/m m m'
_space_group_IT_number 123
_space_group_name_Hall '-P 4 2'
_cell_length_a 4.273
_cell_length_b 4.273
_cell_length_c 3.448
_cell_angle_alpha 90.00
_cell_angle_beta 90.00
_cell_angle_gamma 90.00
loop_
_atom_site_label
_atom_site_type_symbol
_atom_site_fract_x
_atom_site_fract_y
_atom_site_fract_z
Sc1 Sc 0.000 0.000 0.000
Bi1 Bi 0.500 0.500 0.000
H1 H 0.500 0.500 0.500
N1 N 0.000 0.500 0.500
```

=====

[2]
BiHSeN2: optimized geometry, PBE-GGA.

Output
DOS at the Fermi energy: 2.6 states/eV/f.u.
E above lowest polymorph: 2.065 eV per formula unit

```
data_BiHSeN2
_space_group_name_H-M_alt 'P 4/m m m'
_space_group_IT_number 123
_space_group_name_Hall '-P 4 2'
_cell_length_a 4.499
_cell_length_b 4.499
_cell_length_c 5.669
_cell_angle_alpha 90.00
_cell_angle_beta 90.00
_cell_angle_gamma 90.00
loop_
_atom_site_label
_atom_site_type_symbol
_atom_site_fract_x
_atom_site_fract_y
_atom_site_fract_z
Bi1 Bi 0.000 0.000 0.000
H1 H 0.500 0.500 0.500
Se1 Se 0.000 0.000 0.500
N1 N 0.000 0.500 0.000
```

=====

[3]
BiHSeN2: optimized geometry, PBE-GGA.

Output
DOS at the Fermi energy: 1.8 states/eV/f.u.
E above lowest polymorph: 0.000 eV per formula unit

```
data_BiHSeN2
_space_group_name_H-M_alt 'P 4/m m m'
_space_group_IT_number 123
_space_group_name_Hall '-P 4 2'
_cell_length_a 4.369
_cell_length_b 4.369
_cell_length_c 3.331
_cell_angle_alpha 90.00
_cell_angle_beta 90.00
_cell_angle_gamma 90.00
loop_
_atom_site_label
_atom_site_type_symbol
_atom_site_fract_x
_atom_site_fract_y
_atom_site_fract_z
Bi1 Bi 0.000 0.000 0.000
H1 H 0.500 0.500 0.500
Se1 Se 0.500 0.500 0.000
N1 N 0.000 0.500 0.500
```

=====

[4]
SiBi2HN: optimized geometry, PBE-GGA.

Output
DOS at the Fermi energy: 2.0 states/eV/f.u.
Final energy: -3.888 eV per atom

```
data_SiBi2HN
_space_group_name_H-M_alt 'P 4/m m m'
_space_group_IT_number 123
_space_group_name_Hall '-P 4 2'
_cell_length_a 5.489
_cell_length_b 5.489
_cell_length_c 3.268
_cell_angle_alpha 90.00
_cell_angle_beta 90.00
_cell_angle_gamma 90.00
loop_
_atom_site_label
_atom_site_type_symbol
_atom_site_fract_x
_atom_site_fract_y
_atom_site_fract_z
Si1 Si 0.000 0.000 0.000
Bi1 Bi 0.000 0.500 0.000
H1 H 0.000 0.000 0.500
N1 N 0.500 0.500 0.500
```

=====

[5]
TaBiH2N: optimized geometry, PBE-GGA.

Output
DOS at the Fermi energy: 3.4 states/eV/f.u.
Final energy: -5.203 eV per atom

```
data_TaBiH2N
_space_group_name_H-M_alt 'P 4/m m m'
_space_group_IT_number 123
_space_group_name_Hall '-P 4 2'
_cell_length_a 3.437
_cell_length_b 3.437
_cell_length_c 6.118
_cell_angle_alpha 90.00
_cell_angle_beta 90.00
_cell_angle_gamma 90.00
loop_
_atom_site_label
_atom_site_type_symbol
_atom_site_fract_x
_atom_site_fract_y
_atom_site_fract_z
Ta1 Ta 0.000 0.000 0.000
Bi1 Bi 0.000 0.000 0.500
H1 H 0.000 0.500 0.500
N1 N 0.500 0.500 0.000
```

=====

[6]
TcBiH2N: optimized geometry, PBE-GGA.

Output
DOS at the Fermi energy: 2.1 states/eV/f.u.
Final energy: -5.456 eV per atom

```
data_TcBiH2N
_space_group_name_H-M_alt 'P 4/m m m'
_space_group_IT_number 123
_space_group_name_Hall '-P 4 2'
_cell_length_a 3.742
_cell_length_b 3.742
_cell_length_c 4.020
_cell_angle_alpha 90.00
_cell_angle_beta 90.00
_cell_angle_gamma 90.00
loop_
_atom_site_label
_atom_site_type_symbol
_atom_site_fract_x
_atom_site_fract_y
_atom_site_fract_z
Tc1 Tc 0.000 0.000 0.000
Bi1 Bi 0.500 0.500 0.500
H1 H 0.000 0.500 0.000
N1 N 0.000 0.000 0.500
```

=====

[7]
BiTe2HN: optimized geometry, PBE-GGA.

Output
DOS at the Fermi energy: 4.5 states/eV/f.u.
E above lowest polymorph: 1.244 eV per formula unit

```
data_BiTe2HN
_space_group_name_H-M_alt 'P 4/m m m'
_space_group_IT_number 123
_space_group_name_Hall '-P 4 2'
_cell_length_a 6.104
_cell_length_b 6.104
_cell_length_c 4.636
_cell_angle_alpha 90.00
_cell_angle_beta 90.00
_cell_angle_gamma 90.00
loop_
_atom_site_label
_atom_site_type_symbol
_atom_site_fract_x
_atom_site_fract_y
_atom_site_fract_z
Bi1 Bi 0.000 0.000 0.000
Te1 Te 0.000 0.500 0.000
H1 H 0.500 0.500 0.500
N1 N 0.000 0.000 0.500
```

=====

[8]
BiTe2HN: optimized geometry, PBE-GGA.

Output
DOS at the Fermi energy: 4.2 states/eV/f.u.
E above lowest polymorph: 0.000 eV per formula unit

```
data_BiTe2HN
_space_group_name_H-M_alt 'P 4/m m m'
_space_group_IT_number 123
_space_group_name_Hall '-P 4 2'
_cell_length_a 4.181
_cell_length_b 4.181
_cell_length_c 5.883
_cell_angle_alpha 90.00
_cell_angle_beta 90.00
_cell_angle_gamma 90.00
loop_
_atom_site_label
_atom_site_type_symbol
_atom_site_fract_x
_atom_site_fract_y
_atom_site_fract_z
Bi1 Bi 0.000 0.000 0.000
Te1 Te 0.000 0.500 0.500
H1 H 0.500 0.500 0.500
N1 N 0.500 0.500 0.000
```

=====

[9]
Tm2BiHN: optimized geometry, PBE-GGA.

Output
DOS at the Fermi energy: 1.3 states/eV/f.u.
Final energy: -5.974 eV per atom

```
data_Tm2BiHN
_space_group_name_H-M_alt 'I -4 m 2'
_space_group_IT_number 119
_space_group_name_Hall 'I -4 -2'
_cell_length_a 3.728
_cell_length_b 3.728
_cell_length_c 13.623
_cell_angle_alpha 90.00
_cell_angle_beta 90.00
_cell_angle_gamma 90.00
loop_
_atom_site_label
_atom_site_type_symbol
_atom_site_fract_x
_atom_site_fract_y
_atom_site_fract_z
Tm1 Tm 0.000 0.000 0.164
Bi1 Bi 0.000 0.000 0.500
H1 H 0.000 0.500 0.250
N1 N 0.000 0.500 0.750
```

=====

[10]
Bi2HWN: optimized geometry, PBE-GGA.

Output
DOS at the Fermi energy: 2.3 states/eV/f.u.
Final energy: -5.500 eV per atom

```
data_Bi2HWN
_space_group_name_H-M_alt 'P 4/m m m'
_space_group_IT_number 123
_space_group_name_Hall '-P 4 2'
_cell_length_a 5.150
_cell_length_b 5.150
_cell_length_c 3.001
_cell_angle_alpha 90.00
_cell_angle_beta 90.00
_cell_angle_gamma 90.00
loop_
_atom_site_label
_atom_site_type_symbol
_atom_site_fract_x
_atom_site_fract_y
_atom_site_fract_z
Bi1 Bi 0.000 0.500 0.000
H1 H 0.000 0.000 0.500
W1 W 0.500 0.500 0.500
N1 N 0.000 0.000 0.000
```

=====

[11]
NaBi2H8: optimized geometry, PBE-GGA.

Output
DOS at the Fermi energy: 1.4 states/eV/f.u.
Final energy: -2.975 eV per atom

```
data_NaBi2H8
_space_group_name_H-M_alt 'C 1 2/m 1'
_space_group_IT_number 12
_space_group_name_Hall '-C 2y'
_cell_length_a 14.373
_cell_length_b 6.026
_cell_length_c 4.667
_cell_angle_alpha 90.00
_cell_angle_beta 107.95
_cell_angle_gamma 90.00
loop_
_atom_site_label
_atom_site_type_symbol
_atom_site_fract_x
_atom_site_fract_y
_atom_site_fract_z
Na1 Na 0.000 0.000 0.000
Bi1 Bi 0.193 0.500 0.341
H1 H 0.012 0.500 0.584
H2 H 0.098 0.292 0.104
H3 H 0.244 0.000 0.946
```

=====

[12]
NaBiH: optimized geometry, PBE-GGA.

Output
DOS at the Fermi energy: 1.1 states/eV/f.u.
E above lowest polymorph: 0.530 eV per formula unit

```
data_NaBiH
_space_group_name_H-M_alt 'P 4/n m m'
_space_group_IT_number 129
_cell_length_a 4.173
_cell_length_b 4.173
_cell_length_c 7.363
_cell_angle_alpha 90.00
_cell_angle_beta 90.00
_cell_angle_gamma 90.00
loop_
_space_group_symop_operation_xyz
'x,y,z'
'-x,-y,-z'
'-y+1/2,x,z'
'y+1/2,-x,-z'
'-x+1/2,-y+1/2,z'
'x+1/2,y+1/2,-z'
'y,-x+1/2,z'
'-y,x+1/2,-z'
'x+1/2,-y,-z'
'-x+1/2,y,z'
'-y,-x,-z'
'y,x,z'
'-x,y+1/2,-z'
'x,-y+1/2,z'
'y+1/2,x+1/2,-z'
'-y+1/2,-x+1/2,z'
loop_
_atom_site_label
_atom_site_type_symbol
_atom_site_fract_x
_atom_site_fract_y
_atom_site_fract_z
Na1 Na 0.250 0.250 0.097
Bi1 Bi 0.250 0.250 0.596
H1 H 0.250 0.750 0.000
```

=====

[13]
Na2Bi3H4: optimized geometry, PBE-GGA.

Output
DOS at the Fermi energy: 2.1 states/eV/f.u.
Final energy: -2.966 eV per atom

```
data_Na2Bi3H4
_space_group_name_H-M_alt 'C 1 2/c 1'
_space_group_IT_number 15
_space_group_name_Hall '-C 2yc'
_cell_length_a 17.125
_cell_length_b 6.288
_cell_length_c 6.717
_cell_angle_alpha 90.00
_cell_angle_beta 90.42
_cell_angle_gamma 90.00
loop_
_atom_site_label
_atom_site_type_symbol
_atom_site_fract_x
_atom_site_fract_y
_atom_site_fract_z
Na1 Na 0.186 0.001 0.004
Bi1 Bi 0.000 0.076 0.750
Bi2 Bi 0.131 0.485 0.752
H1 H 0.095 0.133 0.252
H2 H 0.213 0.263 0.754
```

=====

[14]
NaBiH: optimized geometry, PBE-GGA.

Output
DOS at the Fermi energy: 0.6 states/eV/f.u.
E above lowest polymorph: 0.000 eV per formula unit

```
data_NaBiH
_space_group_name_H-M_alt 'C 1 2/m 1'
_space_group_IT_number 12
_space_group_name_Hall '-C 2y'
_cell_length_a 10.474
_cell_length_b 4.588
_cell_length_c 7.089
_cell_angle_alpha 90.00
_cell_angle_beta 124.36
_cell_angle_gamma 90.00
loop_
_atom_site_label
_atom_site_type_symbol
_atom_site_fract_x
_atom_site_fract_y
_atom_site_fract_z
Na1 Na 0.077 0.000 0.331
Bi1 Bi 0.182 0.500 0.079
H1 H 0.034 0.500 0.564
```

=====

[15]
NaBiH: optimized geometry, PBE-GGA.

Output
DOS at the Fermi energy: 1.9 states/eV/f.u.
E above lowest polymorph: 0.826 eV per formula unit

```
data_NaBiH
_space_group_name_H-M_alt 'I 4 m m'
_space_group_IT_number 107
_space_group_name_Hall 'I 4 -2'
_cell_length_a 4.405
_cell_length_b 4.405
_cell_length_c 9.707
_cell_angle_alpha 90.00
_cell_angle_beta 90.00
_cell_angle_gamma 90.00
loop_
_atom_site_label
_atom_site_type_symbol
_atom_site_fract_x
_atom_site_fract_y
_atom_site_fract_z
Na1 Na 0.000 0.000 0.000
Bi1 Bi 0.000 0.000 0.580
H1 H 0.000 0.000 0.768
```

=====

[16]
NaBi3H: optimized geometry, PBE-GGA.

Output
DOS at the Fermi energy: 1.7 states/eV/f.u.
E above lowest polymorph: 0.000 eV per formula unit

```
data_NaBi3H
_space_group_name_H-M_alt 'P m -3 m'
_space_group_IT_number 221
_space_group_name_Hall '-P 4 2 3'
_cell_length_a 5.013
_cell_length_b 5.013
_cell_length_c 5.013
_cell_angle_alpha 90.00
_cell_angle_beta 90.00
_cell_angle_gamma 90.00
loop_
_atom_site_label
_atom_site_type_symbol
_atom_site_fract_x
_atom_site_fract_y
_atom_site_fract_z
Na1 Na 0.000 0.000 0.000
Bi1 Bi 0.000 0.500 0.500
H1 H 0.500 0.500 0.500
```

=====

[17]
Na3BiH: optimized geometry, PBE-GGA.

Output
DOS at the Fermi energy: 1.0 states/eV/f.u.
E above lowest polymorph: 0.655 eV per formula unit

```
data_Na3BiH
_space_group_name_H-M_alt 'P 1 21/c 1'
_space_group_IT_number 14
_space_group_name_Hall '-P 2ybc'
_cell_length_a 9.130
_cell_length_b 6.204
_cell_length_c 11.355
_cell_angle_alpha 90.00
_cell_angle_beta 128.14
_cell_angle_gamma 90.00
loop_
_atom_site_label
_atom_site_type_symbol
_atom_site_fract_x
_atom_site_fract_y
_atom_site_fract_z
Na1 Na 0.009 0.244 0.407
Na2 Na 0.251 0.722 0.952
Na3 Na 0.487 0.202 0.146
Bi1 Bi 0.248 0.244 0.772
H1 H 0.260 0.611 0.765
```

=====

[18]
NaBi3H: optimized geometry, PBE-GGA.

Output
DOS at the Fermi energy: 3.4 states/eV/f.u.
E above lowest polymorph: 4.583 eV per formula unit

```
data_NaBi3H
_space_group_name_H-M_alt 'P m -3 m'
_space_group_IT_number 221
_space_group_name_Hall '-P 4 2 3'
_cell_length_a 5.551
_cell_length_b 5.551
_cell_length_c 5.551
_cell_angle_alpha 90.00
_cell_angle_beta 90.00
_cell_angle_gamma 90.00
loop_
_atom_site_label
_atom_site_type_symbol
_atom_site_fract_x
_atom_site_fract_y
_atom_site_fract_z
Na1 Na 0.000 0.000 0.000
Bi1 Bi 0.000 0.000 0.500
H1 H 0.500 0.500 0.500
```

=====

[19]
Na2BiH2: optimized geometry, PBE-GGA.

Output
DOS at the Fermi energy: 0.6 states/eV/f.u.
E above lowest polymorph: 0.000 eV per formula unit

```
data_Na2BiH2
_space_group_name_H-M_alt 'C 1 2/c 1'
_space_group_IT_number 15
_space_group_name_Hall '-C 2yc'
_cell_length_a 10.370
_cell_length_b 5.624
_cell_length_c 7.025
_cell_angle_alpha 90.00
_cell_angle_beta 102.93
_cell_angle_gamma 90.00
loop_
_atom_site_label
_atom_site_type_symbol
_atom_site_fract_x
_atom_site_fract_y
_atom_site_fract_z
Na1 Na 0.154 0.109 0.153
Bi1 Bi 0.000 0.402 0.750
H1 H 0.218 0.287 0.496
```

=====

[20]
Na2BiH2: optimized geometry, PBE-GGA.

Output
DOS at the Fermi energy: 1.4 states/eV/f.u.
E above lowest polymorph: 1.472 eV per formula unit

```
data_Na2BiH2
_space_group_name_H-M_alt 'P 4/m b m'
_space_group_IT_number 127
_space_group_name_Hall '-P 4 2ab'
_cell_length_a 7.268
_cell_length_b 7.268
_cell_length_c 3.436
_cell_angle_alpha 90.00
_cell_angle_beta 90.00
_cell_angle_gamma 90.00
loop_
_atom_site_label
_atom_site_type_symbol
_atom_site_fract_x
_atom_site_fract_y
_atom_site_fract_z
Na1 Na 0.154 0.346 0.000
Bi1 Bi 0.000 0.000 0.500
H1 H 0.154 0.654 0.500
```